VASP calculation (PBE) on H2RuAu after structural relaxation.

a = 5.066 Å, b = 5.066 Å, c = 5.066 Å
α = 127.18°, β = 127.18°, γ = 77.97°
Element x y z (fractional)
H  0.073  0.625  0.948
H  0.375  0.323  0.448
H  0.677  0.125  0.052
H  0.875  0.927  0.552
Ru  0.000  0.000  0.000
Ru  0.750  0.250  0.500
Au  0.250  0.750  0.500
Au  0.500  0.500  0.000

Values from the calculation:
E: -17.7 eV per formula unit
Space group: I-42d (122)
Calculated volume: 10.0 Å³ per atom


VASP calculation (PBE) on H2RuAu after structural relaxation.

a = 3.819 Å, b = 3.819 Å, c = 3.819 Å
α = 60.00°, β = 60.00°, γ = 60.00°
Element x y z (fractional)
H  0.250  0.250  0.250
H  0.750  0.750  0.750
Ru  0.000  0.000  0.000
Au  0.500  0.500  0.500

Values from the calculation:
E: -16.1 eV per formula unit
Space group: Fm-3m (225)
Calculated volume: 9.8 Å³ per atom


VASP calculation (PBE) on SbHRu2Au after structural relaxation.

a = 4.972 Å, b = 4.972 Å, c = 5.195 Å
α = 90.00°, β = 90.00°, γ = 90.00°
Element x y z (fractional)
Sb  0.000  0.000  0.000
H  0.500  0.500  0.500
Ru  0.000  0.500  0.000
Ru  0.500  0.000  0.000
Au  0.000  0.000  0.500

Values from the calculation:
E: -19.9 eV per formula unit
Space group: P4/mmm (123)
Calculated volume: 25.7 Å³ per atom


VASP calculation (PBE) on Ta2HRuAu after structural relaxation.

a = 4.093 Å, b = 4.093 Å, c = 4.079 Å
α = 90.00°, β = 90.00°, γ = 90.00°
Element x y z (fractional)
Ta  0.000  0.500  0.000
Ta  0.500  0.000  0.000
H  0.000  0.000  0.000
Ru  0.000  0.000  0.500
Au  0.500  0.500  0.500

Values from the calculation:
E: -40.3 eV per formula unit
Space group: P4/mmm (123)
Calculated volume: 13.7 Å³ per atom


VASP calculation (PBE) on Y2HRuAu after structural relaxation.

a = 4.954 Å, b = 4.954 Å, c = 3.636 Å
α = 90.00°, β = 90.00°, γ = 90.00°
Element x y z (fractional)
Y  0.000  0.500  0.000
Y  0.500  0.000  0.000
H  0.000  0.000  0.000
Ru  0.000  0.000  0.500
Au  0.500  0.500  0.500

Values from the calculation:
E: -31.8 eV per formula unit
Space group: P4/mmm (123)
Calculated volume: 17.8 Å³ per atom


VASP calculation (PBE) on Zr2HRuAu after structural relaxation.

a = 4.484 Å, b = 4.484 Å, c = 3.833 Å
α = 90.00°, β = 90.00°, γ = 90.00°
Element x y z (fractional)
Zr  0.000  0.500  0.000
Zr  0.500  0.000  0.000
H  0.000  0.000  0.000
Ru  0.000  0.000  0.500
Au  0.500  0.500  0.500

Values from the calculation:
E: -35.1 eV per formula unit
Space group: P4/mmm (123)
Calculated volume: 15.4 Å³ per atom


Copy entry 3 word for word.
VASP calculation (PBE) on SbHRu2Au after structural relaxation.

a = 4.972 Å, b = 4.972 Å, c = 5.195 Å
α = 90.00°, β = 90.00°, γ = 90.00°
Element x y z (fractional)
Sb  0.000  0.000  0.000
H  0.500  0.500  0.500
Ru  0.000  0.500  0.000
Ru  0.500  0.000  0.000
Au  0.000  0.000  0.500

Values from the calculation:
E: -19.9 eV per formula unit
Space group: P4/mmm (123)
Calculated volume: 25.7 Å³ per atom


Among the records above, which one has the lowest calculated volume? number 2


Number 1 is which compound? H2RuAu


Look up the E of the sixth one. -35.1 eV per formula unit